Entry from the Alexandria database: a relaxed Ac2La3Pr8 crystal (PBE-GGA).

Computed properties:
- Energy relative to the lowest polymorph listed for this composition: 81 meV per atom
- E_form: 0.241 eV/atom
- Total DFT energy (no corrections): -58.10 eV/f.u.

a = 13.2761 Å, b = 13.2761 Å, c = 13.2761 Å
α = 29.81°, β = 29.81°, γ = 29.81°
Last column: nearest neighbours and their distance in Å.
Fractional positions:
Ac 0.1393 0.1393 0.1393  1 Pr 3.33
Ac 0.8607 0.8607 0.8607  1 Pr 3.33
La 0.3119 0.3119 0.3119  4 Pr 3.23-3.51
La 0.5000 0.5000 0.5000  6 Ac 4.08, 6 Pr 4.56
La 0.6881 0.6881 0.6881  4 Pr 3.23-3.51
Pr 0.2203 0.2203 0.7234  4 Pr 3.39-3.44, 3 La 3.51-3.64, 1 Ac 3.77
Pr 0.2203 0.7234 0.2203  4 Pr 3.39-3.44, 3 La 3.51-3.64, 1 Ac 3.77
Pr 0.2269 0.2269 0.2269  1 La 3.23, 1 Ac 3.33
Pr 0.2766 0.7797 0.7797  4 Pr 3.39-3.44, 3 La 3.51-3.64, 1 Ac 3.77
Pr 0.7234 0.2203 0.2203  4 Pr 3.39-3.44, 3 La 3.51-3.64, 1 Ac 3.77
Pr 0.7731 0.7731 0.7731  1 La 3.23, 1 Ac 3.33
Pr 0.7797 0.2766 0.7797  4 Pr 3.39-3.44, 3 La 3.51-3.64, 1 Ac 3.77
Pr 0.7797 0.7797 0.2766  4 Pr 3.39-3.44, 3 La 3.51-3.64, 1 Ac 3.77

***

Entry from the Alexandria database: a relaxed Ac7LaPr4 crystal (PBE-GGA).

Computed properties:
- Energy relative to the lowest polymorph listed for this composition: 195 meV per atom
- E_form: 0.216 eV/atom
- Total DFT energy (no corrections): -50.22 eV/f.u.

a = 9.2256 Å, b = 9.2256 Å, c = 10.5291 Å
α = 118.10°, β = 118.10°, γ = 41.16°
Last column: nearest neighbours and their distance in Å.
Fractional positions:
Ac 0.0000 0.0000 0.0000  2 La 3.24, 2 Pr 3.41
Ac 0.2718 0.2718 0.7420  4 Pr 3.46-3.71, 1 La 3.48, 2 Ac 3.81-3.85
Ac 0.2938 0.2938 0.1208  6 Ac 3.81-3.94, 4 Pr 3.96-4.23
Ac 0.4128 0.4128 0.5520  5 Pr 3.65-3.93, 3 Ac 3.69-3.93
Ac 0.5872 0.5872 0.4480  5 Pr 3.65-3.93, 3 Ac 3.69-3.93
Ac 0.7062 0.7062 0.8792  6 Ac 3.81-3.94, 4 Pr 3.96-4.23
Ac 0.7282 0.7282 0.2580  4 Pr 3.46-3.71, 1 La 3.48, 2 Ac 3.81-3.85
La 0.5000 0.5000 0.0000  4 Ac 3.24-3.48
Pr 0.0599 0.0599 0.7004  2 Ac 3.46-3.78, 2 Pr 3.65-3.68
Pr 0.1686 0.1686 0.3578  5 Ac 3.41-3.71, 1 Pr 3.68
Pr 0.8314 0.8314 0.6422  5 Ac 3.41-3.71, 1 Pr 3.68
Pr 0.9401 0.9401 0.2996  2 Ac 3.46-3.78, 2 Pr 3.65-3.68

***

Entry from the Alexandria database: a relaxed Ac8LaPr4 crystal (PBE-GGA).

Computed properties:
- E_form: 0.392 eV/atom
- Total DFT energy (no corrections): -51.82 eV/f.u.

a = 8.4332 Å, b = 8.4332 Å, c = 8.4332 Å
α = 90.10°, β = 90.10°, γ = 90.10°
Last column: nearest neighbours and their distance in Å.
Fractional positions:
Ac 0.2388 0.2388 0.2388  4 Pr 3.48-3.71, 1 La 3.81
Ac 0.2389 0.2389 0.7602  4 Pr 3.50-3.71, 1 La 3.81
Ac 0.2389 0.7602 0.2389  4 Pr 3.50-3.71, 1 La 3.81
Ac 0.2398 0.7611 0.7611  4 Pr 3.50-3.71, 1 La 3.81
Ac 0.7602 0.2389 0.2389  4 Pr 3.50-3.71, 1 La 3.81
Ac 0.7611 0.2398 0.7611  4 Pr 3.50-3.71, 1 La 3.81
Ac 0.7611 0.7611 0.2398  4 Pr 3.50-3.71, 1 La 3.81
Ac 0.7612 0.7612 0.7612  4 Pr 3.48-3.71, 1 La 3.81
La 0.5000 0.5000 0.5000  8 Ac 3.81, 6 Pr 4.22
Pr 0.0000 0.0000 0.0000  8 Ac 3.48-3.50
Pr 0.0000 0.5000 0.5000  8 Ac 3.71
Pr 0.5000 0.0000 0.5000  8 Ac 3.71
Pr 0.5000 0.5000 0.0000  8 Ac 3.71

***

Entry from the Alexandria database: a relaxed AcLa2Pr12 crystal (PBE-GGA).

Computed properties:
- E_form: 0.259 eV/atom
- Total DFT energy (no corrections): -67.44 eV/f.u.

a = 6.6910 Å, b = 6.6910 Å, c = 26.2992 Å
α = 90.00°, β = 90.00°, γ = 90.00°
Last column: nearest neighbours and their distance in Å.
Fractional positions:
Ac 0.2500 0.7500 0.0000  4 Pr 3.61
Ac 0.7500 0.2500 0.0000  4 Pr 3.61
La 0.2500 0.7500 0.2696  8 Pr 3.59-3.83
La 0.2500 0.7500 0.7304  8 Pr 3.59-3.83
La 0.7500 0.2500 0.2696  8 Pr 3.59-3.83
La 0.7500 0.2500 0.7304  8 Pr 3.59-3.83
Pr 0.0642 0.5642 0.1199  7 Pr 3.45-3.59, 1 Ac 3.61
Pr 0.0642 0.9358 0.8801  7 Pr 3.45-3.59, 1 Ac 3.61
Pr 0.0816 0.5816 0.5608  6 Pr 3.19-3.55
Pr 0.0816 0.9184 0.4392  6 Pr 3.19-3.55
Pr 0.2500 0.2500 0.2199  1 Pr 3.18
Pr 0.2500 0.2500 0.3407  1 Pr 3.18
Pr 0.2500 0.2500 0.6593  1 Pr 3.18
Pr 0.2500 0.2500 0.7801  1 Pr 3.18
Pr 0.4184 0.5816 0.4392  6 Pr 3.19-3.55
Pr 0.4184 0.9184 0.5608  6 Pr 3.19-3.55
Pr 0.4358 0.5642 0.8801  7 Pr 3.45-3.59, 1 Ac 3.61
Pr 0.4358 0.9358 0.1199  7 Pr 3.45-3.59, 1 Ac 3.61
Pr 0.5642 0.0642 0.8801  7 Pr 3.45-3.59, 1 Ac 3.61
Pr 0.5642 0.4358 0.1199  7 Pr 3.45-3.59, 1 Ac 3.61
Pr 0.5816 0.0816 0.4392  6 Pr 3.19-3.55
Pr 0.5816 0.4184 0.5608  6 Pr 3.19-3.55
Pr 0.7500 0.7500 0.2199  1 Pr 3.18
Pr 0.7500 0.7500 0.3407  1 Pr 3.18
Pr 0.7500 0.7500 0.6593  1 Pr 3.18
Pr 0.7500 0.7500 0.7801  1 Pr 3.18
Pr 0.9184 0.0816 0.5608  6 Pr 3.19-3.55
Pr 0.9184 0.4184 0.4392  6 Pr 3.19-3.55
Pr 0.9358 0.0642 0.1199  7 Pr 3.45-3.59, 1 Ac 3.61
Pr 0.9358 0.4358 0.8801  7 Pr 3.45-3.59, 1 Ac 3.61

***

Entry from the Alexandria database: a relaxed Ac5La3Pr3 crystal (PBE-GGA).

Computed properties:
- E_form: 0.257 eV/atom
- Total DFT energy (no corrections): -46.84 eV/f.u.

a = 11.9528 Å, b = 11.9528 Å, c = 3.7030 Å
α = 90.00°, β = 90.00°, γ = 120.00°
Last column: nearest neighbours and their distance in Å.
Fractional positions:
Ac 0.0000 0.6583 0.0000  2 Pr 3.54, 2 La 3.70, 4 Ac 3.70-3.94
Ac 0.3333 0.6667 0.0000  5 Ac 3.70-3.94, 6 La 4.13
Ac 0.3417 0.3417 0.0000  2 Pr 3.54, 2 La 3.70, 4 Ac 3.70-3.94
Ac 0.6583 0.0000 0.0000  2 Pr 3.54, 2 La 3.70, 4 Ac 3.70-3.94
Ac 0.6667 0.3333 0.0000  5 Ac 3.70-3.94, 6 La 4.13
La 0.0000 0.3907 0.5000  2 Pr 3.34, 2 Ac 3.70, 2 La 3.70
La 0.3907 0.0000 0.5000  2 Pr 3.34, 2 Ac 3.70, 2 La 3.70
La 0.6093 0.6093 0.5000  2 Pr 3.34, 2 Ac 3.70, 2 La 3.70
Pr 0.0000 0.1586 0.0000  2 Pr 3.28, 2 La 3.34, 2 Ac 3.54
Pr 0.1586 0.0000 0.0000  2 Pr 3.28, 2 La 3.34, 2 Ac 3.54
Pr 0.8414 0.8414 0.0000  2 Pr 3.28, 2 La 3.34, 2 Ac 3.54

***

Entry from the Alexandria database: a relaxed Ac4La2Pr3 crystal (PBE-GGA).

Computed properties:
- Energy relative to the lowest polymorph listed for this composition: 51 meV per atom
- E_form: 0.075 eV/atom
- Total DFT energy (no corrections): -39.95 eV/f.u.

a = 3.8557 Å, b = 3.8557 Å, c = 28.6170 Å
α = 90.00°, β = 90.00°, γ = 120.00°
Last column: nearest neighbours and their distance in Å.
Fractional positions:
Ac 0.0000 0.0000 0.0000  1 La 3.65, 3 Pr 3.79, 6 Ac 3.86
Ac 0.0000 0.0000 0.2183  9 Ac 3.86-4.01, 3 Pr 3.88
Ac 0.3333 0.6667 0.3348  3 Pr 3.83, 9 Ac 3.86-4.01
Ac 0.3333 0.6667 0.5536  3 Pr 3.85, 6 Ac 3.86, 3 La 3.87
La 0.0000 0.0000 0.6641  3 Pr 3.78, 6 La 3.86, 3 Ac 3.87
La 0.0000 0.0000 0.8725  1 Ac 3.65, 3 Pr 3.67, 6 La 3.86
Pr 0.0000 0.0000 0.4439  6 Ac 3.83-3.85, 6 Pr 3.86
Pr 0.3333 0.6667 0.1071  6 Ac 3.79-3.88, 6 Pr 3.86
Pr 0.3333 0.6667 0.7707  6 La 3.67-3.78, 6 Pr 3.86

***

Entry from the Alexandria database: a relaxed Ac3La8Pr crystal (PBE-GGA).

Computed properties:
- E_form: 0.208 eV/atom
- Total DFT energy (no corrections): -54.03 eV/f.u.

a = 9.1252 Å, b = 9.1252 Å, c = 9.1252 Å
α = 135.98°, β = 98.43°, γ = 97.71°
Last column: nearest neighbours and their distance in Å.
Fractional positions:
Ac 0.0000 0.0000 0.0000  8 La 3.61-3.68
Ac 0.2574 0.5000 0.7574  10 La 3.90-4.26
Ac 0.7426 0.5000 0.2426  10 La 3.90-4.26
La 0.0787 0.8250 0.2537  6 La 3.55-3.87, 1 Pr 3.61, 2 Ac 3.68-3.90
La 0.2724 0.0485 0.7760  1 La 3.06, 1 Pr 3.32
La 0.2724 0.4964 0.2240  1 La 3.06, 1 Pr 3.32
La 0.4287 0.1750 0.2537  6 La 3.55-3.87, 1 Pr 3.61, 2 Ac 3.68-3.90
La 0.5713 0.8250 0.7463  6 La 3.55-3.87, 1 Pr 3.61, 2 Ac 3.68-3.90
La 0.7276 0.5036 0.7760  1 La 3.06, 1 Pr 3.32
La 0.7276 0.9515 0.2240  1 La 3.06, 1 Pr 3.32
La 0.9213 0.1750 0.7463  6 La 3.55-3.87, 1 Pr 3.61, 2 Ac 3.68-3.90
Pr 0.5000 0.0000 0.5000  8 La 3.32-3.61

***

Entry from the Alexandria database: a relaxed AcLa2Pr3 crystal (PBE-GGA).

Computed properties:
- Energy relative to the lowest polymorph listed for this composition: 0 meV per atom
- E_form: 0.014 eV/atom
- Total DFT energy (no corrections): -28.22 eV/f.u.

a = 7.5258 Å, b = 7.5258 Å, c = 9.2301 Å
α = 90.00°, β = 90.00°, γ = 120.00°
Last column: nearest neighbours and their distance in Å.
Fractional positions:
Ac 0.3333 0.6667 0.3358  9 Pr 3.76-3.78, 3 La 3.79
Ac 0.6667 0.3333 0.6642  9 Pr 3.76-3.78, 3 La 3.79
La 0.0000 0.0000 0.0000  6 Pr 3.73, 6 La 3.76
La 0.0000 0.5000 0.0000  4 Pr 3.75, 6 La 3.76, 2 Ac 3.79
La 0.5000 0.0000 0.0000  4 Pr 3.75, 6 La 3.76, 2 Ac 3.79
La 0.5000 0.5000 0.0000  4 Pr 3.75, 6 La 3.76, 2 Ac 3.79
Pr 0.1653 0.3305 0.6694  6 Pr 3.73-3.80, 3 La 3.73-3.75, 3 Ac 3.76-3.78
Pr 0.1653 0.8347 0.6694  6 Pr 3.73-3.80, 3 La 3.73-3.75, 3 Ac 3.76-3.78
Pr 0.3305 0.1653 0.3306  6 Pr 3.73-3.80, 3 La 3.73-3.75, 3 Ac 3.76-3.78
Pr 0.6695 0.8347 0.6694  6 Pr 3.73-3.80, 3 La 3.73-3.75, 3 Ac 3.76-3.78
Pr 0.8347 0.1653 0.3306  6 Pr 3.73-3.80, 3 La 3.73-3.75, 3 Ac 3.76-3.78
Pr 0.8347 0.6695 0.3306  6 Pr 3.73-3.80, 3 La 3.73-3.75, 3 Ac 3.76-3.78

***

Entry from the Alexandria database: a relaxed Ac5LaPr crystal (PBE-GGA).

Computed properties:
- E_form: 0.238 eV/atom
- Total DFT energy (no corrections): -28.58 eV/f.u.

a = 5.6356 Å, b = 5.6356 Å, c = 9.8633 Å
α = 90.00°, β = 90.00°, γ = 90.00°
Last column: nearest neighbours and their distance in Å.
Fractional positions:
Ac 0.0000 0.0000 0.0000  8 Ac 3.91, 4 Pr 3.98
Ac 0.0000 0.5000 0.2749  2 La 3.59, 6 Ac 3.91-3.98, 2 Pr 3.91
Ac 0.0000 0.5000 0.7251  2 La 3.59, 6 Ac 3.91-3.98, 2 Pr 3.91
Ac 0.5000 0.0000 0.2749  2 La 3.59, 6 Ac 3.91-3.98, 2 Pr 3.91
Ac 0.5000 0.0000 0.7251  2 La 3.59, 6 Ac 3.91-3.98, 2 Pr 3.91
La 0.5000 0.5000 0.5000  8 Ac 3.59
Pr 0.5000 0.5000 0.0000  12 Ac 3.91-3.98

***

Entry from the Alexandria database: a relaxed AcLa2Pr crystal (PBE-GGA).

Computed properties:
- Energy relative to the lowest polymorph listed for this composition: 13 meV per atom
- E_form: 0.022 eV/atom
- Total DFT energy (no corrections): -18.66 eV/f.u.

a = 6.5612 Å, b = 6.5612 Å, c = 5.3696 Å
α = 114.06°, β = 114.06°, γ = 48.30°
Last column: nearest neighbours and their distance in Å.
Fractional positions:
Ac 0.0000 0.0000 0.0000  8 La 3.79-3.80, 4 Pr 3.79-3.80
La 0.5000 0.5000 0.5000  4 La 3.79-3.80, 4 Pr 3.79-3.80, 4 Ac 3.80
La 0.7500 0.7500 0.2499  4 Ac 3.79-3.80, 4 La 3.79-3.80, 4 Pr 3.80
Pr 0.2500 0.2500 0.7500  4 Ac 3.79-3.80, 8 La 3.79-3.80

***

What did the sixth record say?
Entry from the Alexandria database: a relaxed Ac4La2Pr3 crystal (PBE-GGA).

Computed properties:
- Energy relative to the lowest polymorph listed for this composition: 51 meV per atom
- E_form: 0.075 eV/atom
- Total DFT energy (no corrections): -39.95 eV/f.u.

a = 3.8557 Å, b = 3.8557 Å, c = 28.6170 Å
α = 90.00°, β = 90.00°, γ = 120.00°
Last column: nearest neighbours and their distance in Å.
Fractional positions:
Ac 0.0000 0.0000 0.0000  1 La 3.65, 3 Pr 3.79, 6 Ac 3.86
Ac 0.0000 0.0000 0.2183  9 Ac 3.86-4.01, 3 Pr 3.88
Ac 0.3333 0.6667 0.3348  3 Pr 3.83, 9 Ac 3.86-4.01
Ac 0.3333 0.6667 0.5536  3 Pr 3.85, 6 Ac 3.86, 3 La 3.87
La 0.0000 0.0000 0.6641  3 Pr 3.78, 6 La 3.86, 3 Ac 3.87
La 0.0000 0.0000 0.8725  1 Ac 3.65, 3 Pr 3.67, 6 La 3.86
Pr 0.0000 0.0000 0.4439  6 Ac 3.83-3.85, 6 Pr 3.86
Pr 0.3333 0.6667 0.1071  6 Ac 3.79-3.88, 6 Pr 3.86
Pr 0.3333 0.6667 0.7707  6 La 3.67-3.78, 6 Pr 3.86

***

Which of these has the lowest E_form?
AcLa2Pr3

***

Which of these has the highest total DFT energy (no corrections)?
AcLa2Pr

***

The lowest E_form belongs to which entry?
AcLa2Pr3